! GGA-PBE LiHoZr, optimized geometry; values from VASP
! D(E_F) = 3.17 states/eV/cell
! Space group = P3m1 (156)
! Magnetic moment = 0.000 μB per formula unit
! Uncorrected energy = -4.838 eV/atom
! Energy above the lowest structure with this stoichiometry = 0.0740 eV/atom
&SYSTEM
  ibrav = 0, nat = 3, ntyp = 3
/
ATOMIC_SPECIES
Ho 164.93 Ho.upf
Zr 91.22 Zr.upf
Li 6.94 Li.upf
CELL_PARAMETERS angstrom
3.2769 0.0000 0.0000
-1.6385 2.8379 0.0000
0.0000 0.0000 8.1152
ATOMIC_POSITIONS crystal
Ho 0.3333 0.6667 0.6552
Zr 0.6667 0.3333 0.3347
Li 0.0000 0.0000 0.0100

***

! GGA-PBE LiHo2Zr, optimized geometry; values from VASP
! D(E_F) = 4.31 states/eV/cell
! Space group = R-3m (166)
! Magnetic moment = 0.000 μB per formula unit
! Uncorrected energy = -4.799 eV/atom
! Energy above the lowest structure with this stoichiometry = 0.0339 eV/atom
&SYSTEM
  ibrav = 0, nat = 4, ntyp = 3
/
ATOMIC_SPECIES
Ho 164.93 Ho.upf
Zr 91.22 Zr.upf
Li 6.94 Li.upf
CELL_PARAMETERS angstrom
-1.7143 1.2655 -2.6003
-2.3947 -1.8326 -1.4863
-8.8327 3.9418 5.5682
ATOMIC_POSITIONS crystal
Ho 0.7466 0.7466 0.7603
Ho 0.2534 0.2534 0.2397
Zr 0.0000 0.0000 0.0000
Li 0.5000 0.5000 0.5000

***

! GGA-PBE LiHo2Zr, optimized geometry; values from VASP
! D(E_F) = 4.87 states/eV/cell
! Space group = P4/mmm (123)
! Magnetic moment = 0.000 μB per formula unit
! Uncorrected energy = -4.724 eV/atom
! Energy above the lowest structure with this stoichiometry = 0.1091 eV/atom
&SYSTEM
  ibrav = 0, nat = 4, ntyp = 3
/
ATOMIC_SPECIES
Ho 164.93 Ho.upf
Zr 91.22 Zr.upf
Li 6.94 Li.upf
CELL_PARAMETERS angstrom
-2.4276 -2.3066 -0.6914
3.8011 -3.9735 -0.0900
-0.7428 -0.8325 5.3852
ATOMIC_POSITIONS crystal
Ho 0.0000 0.0000 0.5000
Ho 0.0000 0.5000 0.0000
Zr 0.5000 0.5000 0.5000
Li 0.5000 0.0000 0.0000

***

! GGA-PBE LiHo2Zr, optimized geometry; values from VASP
! D(E_F) = 3.86 states/eV/cell
! Space group = P4/mmm (123)
! Magnetic moment = 0.000 μB per formula unit
! Uncorrected energy = -4.833 eV/atom
! Energy above the lowest structure with this stoichiometry = 0.0000 eV/atom
&SYSTEM
  ibrav = 0, nat = 4, ntyp = 3
/
ATOMIC_SPECIES
Ho 164.93 Ho.upf
Zr 91.22 Zr.upf
Li 6.94 Li.upf
CELL_PARAMETERS angstrom
-2.3363 0.4692 2.4604
-2.5032 -0.3204 -2.3158
-0.2271 -8.8059 1.4638
ATOMIC_POSITIONS crystal
Ho 0.0000 0.0000 0.7487
Ho 0.0000 0.0000 0.2513
Zr 0.5000 0.5000 0.5000
Li 0.5000 0.5000 0.0000

***

! GGA-PBE LiHoZr2, optimized geometry; values from VASP
! D(E_F) = 3.51 states/eV/cell
! Space group = R-3m (166)
! Magnetic moment = 0.000 μB per formula unit
! Uncorrected energy = -5.606 eV/atom
&SYSTEM
  ibrav = 0, nat = 4, ntyp = 3
/
ATOMIC_SPECIES
Ho 164.93 Ho.upf
Zr 91.22 Zr.upf
Li 6.94 Li.upf
CELL_PARAMETERS angstrom
3.1805 0.0000 0.0000
1.5903 2.7544 0.0000
1.5903 0.9181 11.4859
ATOMIC_POSITIONS crystal
Ho 0.5000 0.5000 0.5000
Zr 0.0872 0.0872 0.7383
Zr 0.9128 0.9128 0.2617
Li 0.0000 0.0000 0.0000

***

! GGA-PBE LiHo2Zr, optimized geometry; values from VASP
! D(E_F) = 4.49 states/eV/cell
! Space group = Cm (8)
! Magnetic moment = 0.000 μB per formula unit
! Uncorrected energy = -4.797 eV/atom
! Energy above the lowest structure with this stoichiometry = 0.0361 eV/atom
&SYSTEM
  ibrav = 0, nat = 4, ntyp = 3
/
ATOMIC_SPECIES
Li 6.94 Li.upf
Ho 164.93 Ho.upf
Zr 91.22 Zr.upf
CELL_PARAMETERS angstrom
3.3671 0.0002 0.0012
1.6837 2.9159 0.0012
1.6876 0.9744 10.9953
ATOMIC_POSITIONS crystal
Li 0.4999 0.4999 0.4996
Ho 0.0805 0.0805 0.7612
Ho 0.2531 0.2531 0.2391
Zr 0.6665 0.6665 0.0001